No. 1
First-principles (PBE) data for PmEuSc2 after structural relaxation, as listed in Alexandria.

Values from the calculation:
E_form = 0.1507 eV per atom
E above lowest polymorph = 23.0 meV per atom
V = 29.70 Å³ per atom
Crystal system = tetragonal

a b c (Å): 5.028 5.028 4.698
angles (deg): 90.00 90.00 90.00
Sites, in units of the cell vectors:
1 Pm 0.000 0.000 0.000
2 Eu 0.500 0.500 0.000
3 Sc 0.000 0.500 0.500
4 Sc 0.500 0.000 0.500



No. 2
First-principles (PBE) data for Pm2EuSc after structural relaxation, as listed in Alexandria.

Values from the calculation:
E_form = 0.0602 eV per atom
E above lowest polymorph = 0.0 meV per atom
V = 33.04 Å³ per atom
Crystal system = tetragonal

a b c (Å): 3.663 3.663 9.848
angles (deg): 90.00 90.00 90.00
Sites, in units of the cell vectors:
1 Pm 0.000 0.000 0.222
2 Pm 0.000 0.000 0.778
3 Eu 0.500 0.500 0.500
4 Sc 0.500 0.500 0.000



No. 3
First-principles (PBE) data for PmEuSc2 after structural relaxation, as listed in Alexandria.

Values from the calculation:
E_form = 0.1586 eV per atom
E above lowest polymorph = 31.0 meV per atom
V = 29.82 Å³ per atom
Crystal system = cubic

a b c (Å): 5.525 5.525 5.525
angles (deg): 60.00 60.00 60.00
Sites, in units of the cell vectors:
1 Pm 0.000 0.000 0.000
2 Eu 0.500 0.500 0.500
3 Sc 0.250 0.250 0.250
4 Sc 0.750 0.750 0.750



No. 4
First-principles (PBE) data for Pm2EuSc after structural relaxation, as listed in Alexandria.

Values from the calculation:
E_form = 0.1708 eV per atom
E above lowest polymorph = 110.6 meV per atom
V = 33.43 Å³ per atom
Crystal system = trigonal

a b c (Å): 12.578 12.578 12.578
angles (deg): 16.12 16.12 16.12
Sites, in units of the cell vectors:
1 Pm 0.094 0.094 0.094
2 Pm 0.906 0.906 0.906
3 Eu 0.000 0.000 0.000
4 Sc 0.500 0.500 0.500



No. 5
First-principles (PBE) data for Pm2EuSc after structural relaxation, as listed in Alexandria.

Values from the calculation:
E_form = 0.1502 eV per atom
E above lowest polymorph = 90.0 meV per atom
V = 32.71 Å³ per atom
Crystal system = cubic

a b c (Å): 5.699 5.699 5.699
angles (deg): 60.00 60.00 60.00
Sites, in units of the cell vectors:
1 Pm 0.250 0.250 0.250
2 Pm 0.750 0.750 0.750
3 Eu 0.000 0.000 0.000
4 Sc 0.500 0.500 0.500



No. 6
First-principles (PBE) data for PmEu2Sc after structural relaxation, as listed in Alexandria.

Values from the calculation:
E_form = 0.1658 eV per atom
E above lowest polymorph = 9.8 meV per atom
V = 33.87 Å³ per atom
Crystal system = tetragonal

a b c (Å): 5.081 5.081 5.247
angles (deg): 90.00 90.00 90.00
Sites, in units of the cell vectors:
1 Pm 0.000 0.000 0.000
2 Eu 0.000 0.500 0.500
3 Eu 0.500 0.000 0.500
4 Sc 0.500 0.500 0.000



No. 7
First-principles (PBE) data for PmEu2Sc after structural relaxation, as listed in Alexandria.

Values from the calculation:
E_form = 0.1560 eV per atom
E above lowest polymorph = 0.0 meV per atom
V = 33.95 Å³ per atom
Crystal system = tetragonal

a b c (Å): 3.603 3.603 10.457
angles (deg): 90.00 90.00 90.00
Sites, in units of the cell vectors:
1 Pm 0.000 0.000 0.000
2 Eu 0.500 0.500 0.264
3 Eu 0.500 0.500 0.736
4 Sc 0.000 0.000 0.500



No. 8
First-principles (PBE) data for PmEu2Sc after structural relaxation, as listed in Alexandria.

Values from the calculation:
E_form = 0.1999 eV per atom
E above lowest polymorph = 43.9 meV per atom
V = 33.92 Å³ per atom
Crystal system = cubic

a b c (Å): 5.768 5.768 5.768
angles (deg): 60.00 60.00 60.00
Sites, in units of the cell vectors:
1 Pm 0.000 0.000 0.000
2 Eu 0.250 0.250 0.250
3 Eu 0.750 0.750 0.750
4 Sc 0.500 0.500 0.500



No. 9
First-principles (PBE) data for Pm2EuSc after structural relaxation, as listed in Alexandria.

Values from the calculation:
E_form = 0.1141 eV per atom
E above lowest polymorph = 53.9 meV per atom
V = 32.45 Å³ per atom
Crystal system = tetragonal

a b c (Å): 5.087 5.087 5.015
angles (deg): 90.00 90.00 90.00
Sites, in units of the cell vectors:
1 Pm 0.000 0.500 0.000
2 Pm 0.500 0.000 0.000
3 Eu 0.000 0.000 0.500
4 Sc 0.500 0.500 0.500



No. 10
First-principles (PBE) data for PmEuSc2 after structural relaxation, as listed in Alexandria.

Values from the calculation:
E_form = 0.1276 eV per atom
E above lowest polymorph = 0.0 meV per atom
V = 30.25 Å³ per atom
Crystal system = tetragonal

a b c (Å): 3.564 3.564 9.528
angles (deg): 90.00 90.00 90.00
Sites, in units of the cell vectors:
1 Pm 0.000 0.000 0.000
2 Eu 0.000 0.000 0.500
3 Sc 0.500 0.500 0.237
4 Sc 0.500 0.500 0.763



No. 11
First-principles (PBE) data for PmSmEuSc after structural relaxation, as listed in Alexandria.

Values from the calculation:
E_form = 0.1783 eV per atom
V = 32.63 Å³ per atom
Crystal system = cubic

a b c (Å): 5.694 5.694 5.694
angles (deg): 60.00 60.00 60.00
Sites, in units of the cell vectors:
1 Pm 0.000 0.000 0.000
2 Sm 0.250 0.250 0.250
3 Eu 0.500 0.500 0.500
4 Sc 0.750 0.750 0.750



No. 12
First-principles (PBE) data for PmEuScSn after structural relaxation, as listed in Alexandria.

Values from the calculation:
E_form = -0.2311 eV per atom
V = 27.63 Å³ per atom
Crystal system = cubic

a b c (Å): 5.387 5.387 5.387
angles (deg): 60.00 60.00 60.00
Sites, in units of the cell vectors:
1 Pm 0.000 0.000 0.000
2 Eu 0.750 0.750 0.750
3 Sc 0.500 0.500 0.500
4 Sn 0.250 0.250 0.250



What is the V in the eighth record? 33.92 Å³ per atom



Which of these has the lowest V? PmEuScSn